a | A plane-wave DFT calculation with PBE-GGA was carried out for a relaxed La2SnSe crystal.

Output
The value obtained for the total moment is 0.00 μB per atom. As for the space-group type: P4/mmm.

Cell: 3.6637 3.6637 8.3116 Å, 90.00 90.00 90.00°
Positions (direct):
La 0.0000 0.0000 0.2302
La 0.0000 0.0000 0.7698
Sn 0.5000 0.5000 0.5000
Se 0.5000 0.5000 0.0000

***

b | A plane-wave DFT calculation with PBE-GGA was carried out for a relaxed La2SnSe crystal.

Output
The value obtained for the total moment is 0.00 μB per atom. As for the space-group type: I-42d.

Cell: 8.9098 8.9098 8.9098 Å, 135.35 135.35 64.98°
Positions (direct):
La 0.1071 0.6250 0.9821
La 0.3750 0.3571 0.4821
La 0.6429 0.1250 0.0179
La 0.8750 0.8929 0.5179
Sn 0.2500 0.7500 0.5000
Sn 0.5000 0.5000 0.0000
Se 0.0000 0.0000 0.0000
Se 0.7500 0.2500 0.5000

***

c | A plane-wave DFT calculation with PBE-GGA was carried out for a relaxed La2SnSe crystal.

Output
The value obtained for the total moment is 0.00 μB per atom. As for the space-group type: Pmna.

Cell: 6.3604 6.3608 12.7131 Å, 90.00 90.00 90.00°
Positions (direct):
La 0.0000 0.2493 0.1196
La 0.0000 0.2508 0.6304
La 0.0000 0.7492 0.3696
La 0.0000 0.7507 0.8804
La 0.5000 0.2493 0.3804
La 0.5000 0.2508 0.8696
La 0.5000 0.7492 0.1304
La 0.5000 0.7507 0.6196
Sn 0.0000 0.2492 0.3750
Sn 0.0000 0.7508 0.6250
Sn 0.5000 0.2492 0.1250
Sn 0.5000 0.7508 0.8750
Se 0.0000 0.2508 0.8750
Se 0.0000 0.7492 0.1250
Se 0.5000 0.2508 0.6250
Se 0.5000 0.7492 0.3750

***

d | A plane-wave DFT calculation with PBE-GGA was carried out for a relaxed La2SnSe crystal.

Output
The value obtained for the total moment is 0.00 μB per atom. As for the space-group type: R3m.

Cell: 8.2070 8.2070 8.2070 Å, 31.17 31.17 31.17°
Positions (direct):
La 0.0000 0.0000 0.0000
La 0.1687 0.1687 0.1687
Sn 0.5843 0.5843 0.5843
Se 0.4147 0.4147 0.4147

***

Of them, b has the lowest stability.

***

a | A plane-wave DFT calculation with PBE-GGA was carried out for a relaxed LaSnSe3 crystal.

Output
The value obtained for the total moment is 0.00 μB per atom. As for the space-group type: Pnma.

Cell: 8.2833 4.3456 14.5326 Å, 90.00 90.00 90.00°
Positions (direct):
La 0.0952 0.2500 0.1687
La 0.4048 0.7500 0.6687
La 0.5952 0.2500 0.3313
La 0.9048 0.7500 0.8313
Sn 0.1578 0.7500 0.4394
Sn 0.3422 0.2500 0.9394
Sn 0.6578 0.7500 0.0606
Sn 0.8422 0.2500 0.5606
Se 0.0323 0.7500 0.6258
Se 0.1419 0.7500 0.0093
Se 0.1761 0.2500 0.7787
Se 0.3239 0.7500 0.2787
Se 0.3581 0.2500 0.5093
Se 0.4677 0.2500 0.1258
Se 0.5323 0.7500 0.8742
Se 0.6419 0.7500 0.4907
Se 0.6761 0.2500 0.7213
Se 0.8239 0.7500 0.2213
Se 0.8581 0.2500 0.9907
Se 0.9677 0.2500 0.3742

***

b | A plane-wave DFT calculation with PBE-GGA was carried out for a relaxed LaSnSe3 crystal.

Output
The value obtained for the total moment is 0.00 μB per atom. As for the space-group type: Pm-3m.

Cell: 5.6965 5.6965 5.6965 Å, 90.00 90.00 90.00°
Positions (direct):
La 0.0000 0.0000 0.0000
Sn 0.5000 0.5000 0.5000
Se 0.0000 0.0000 0.5000
Se 0.0000 0.5000 0.0000
Se 0.5000 0.0000 0.0000

***

c | A plane-wave DFT calculation with PBE-GGA was carried out for a relaxed LaSnSe3 crystal.

Output
The value obtained for the total moment is 0.00 μB per atom. As for the space-group type: Pm-3m.

Cell: 5.2636 5.2636 5.2636 Å, 90.00 90.00 90.00°
Positions (direct):
La 0.0000 0.0000 0.0000
Sn 0.5000 0.5000 0.5000
Se 0.0000 0.5000 0.5000
Se 0.5000 0.0000 0.5000
Se 0.5000 0.5000 0.0000

***

Of them, b has the lowest stability.

***

a | A plane-wave DFT calculation with PBE-GGA was carried out for a relaxed Sr3LaSe crystal.

Output
The value obtained for the total moment is 0.48 μB per atom. As for the space-group type: Pm-3m.

Cell: 6.1655 6.1655 6.1655 Å, 90.00 90.00 90.00°
Positions (direct):
Sr 0.0000 0.0000 0.5000
Sr 0.0000 0.5000 0.0000
Sr 0.5000 0.0000 0.0000
La 0.0000 0.0000 0.0000
Se 0.5000 0.5000 0.5000

***

b | A plane-wave DFT calculation with PBE-GGA was carried out for a relaxed Sr3LaSe crystal.

Output
The value obtained for the total moment is 0.16 μB per atom. As for the space-group type: Pm-3m.

Cell: 6.0549 6.0549 6.0549 Å, 90.00 90.00 90.00°
Positions (direct):
Sr 0.0000 0.0000 0.5000
Sr 0.0000 0.5000 0.0000
Sr 0.5000 0.0000 0.0000
La 0.5000 0.5000 0.5000
Se 0.0000 0.0000 0.0000

***

Of them, a has the lowest stability.